1.
An optimized crystal structure of NdCd2Br8. Source: Alexandria via LeMat-Bulk, functional GGA-PBE.

## Properties
Raw total energy (eV per atom): -2.863

Cell lengths 8.3749, 8.3749, 6.5560 Å; angles 95.38, 95.38, 91.99 degrees
Closest atoms and distances in Å follow each position.
Element x y z (fractional)
Nd 0.0000 0.0000 0.0000  6 Br 2.91-2.92
Cd 0.2467 0.2467 0.6796  4 Br 2.64-2.66
Cd 0.7533 0.7533 0.3204  4 Br 2.64-2.66
Br 0.0513 0.7158 0.2204  1 Cd 2.66, 1 Nd 2.92
Br 0.2191 0.2191 0.2717  1 Cd 2.65, 1 Nd 2.91
Br 0.2842 0.9487 0.7796  1 Cd 2.66, 1 Nd 2.92
Br 0.4745 0.4745 0.7696  1 Cd 2.64
Br 0.5255 0.5255 0.2304  1 Cd 2.64
Br 0.7158 0.0513 0.2204  1 Cd 2.66, 1 Nd 2.92
Br 0.7809 0.7809 0.7283  1 Cd 2.65, 1 Nd 2.91
Br 0.9487 0.2842 0.7796  1 Cd 2.66, 1 Nd 2.92



2.
An optimized crystal structure of Nd2CdBr. Source: Alexandria via LeMat-Bulk, functional GGA-PBE.

## Properties
Polymorph energy (0 for the lowest one) (eV per atom): 0.031
Raw total energy (eV per atom): -3.646

Cell lengths 3.7573, 3.7573, 29.0041 Å; angles 90.00, 90.00, 120.00 degrees
Closest atoms and distances in Å follow each position.
Element x y z (fractional)
Nd 0.0000 0.0000 0.0000  3 Br 3.21, 3 Cd 3.30
Nd 0.0000 0.0000 0.1709  3 Br 3.19, 3 Cd 3.29
Nd 0.3333 0.6667 0.6667  3 Br 3.21, 3 Cd 3.30
Nd 0.3333 0.6667 0.8376  3 Br 3.19, 3 Cd 3.29
Nd 0.6667 0.3333 0.3333  3 Br 3.21, 3 Cd 3.30
Nd 0.6667 0.3333 0.5043  3 Br 3.19, 3 Cd 3.29
Cd 0.0000 0.0000 0.4190  6 Nd 3.29-3.30
Cd 0.3333 0.6667 0.0856  6 Nd 3.29-3.30
Cd 0.6667 0.3333 0.7523  6 Nd 3.29-3.30
Br 0.0000 0.0000 0.5850  6 Nd 3.19-3.21
Br 0.3333 0.6667 0.2517  6 Nd 3.19-3.21
Br 0.6667 0.3333 0.9183  6 Nd 3.19-3.21



3.
An optimized crystal structure of Nd6CdNi2Br3. Source: Alexandria via LeMat-Bulk, functional GGA-PBE.

## Properties
Raw total energy (eV per atom): -4.566

Cell lengths 9.9532, 9.9532, 9.1885 Å; angles 107.98, 107.98, 23.70 degrees
Closest atoms and distances in Å follow each position.
Element x y z (fractional)
Nd 0.0164 0.0164 0.2648  1 Ni 2.79, 2 Br 3.06, 2 Cd 3.12
Nd 0.3198 0.3198 0.4455  3 Ni 2.81-2.83
Nd 0.3335 0.3335 0.8733  2 Ni 2.81, 1 Cd 3.08
Nd 0.6665 0.6665 0.1267  2 Ni 2.81, 1 Cd 3.08
Nd 0.6802 0.6802 0.5545  3 Ni 2.81-2.83
Nd 0.9836 0.9836 0.7352  1 Ni 2.79, 2 Br 3.06, 2 Cd 3.12
Cd 0.5000 0.5000 0.0000  6 Nd 3.08-3.12
Ni 0.1669 0.1669 0.3372  6 Nd 2.79-2.83
Ni 0.8331 0.8331 0.6628  6 Nd 2.79-2.83
Br 0.1638 0.1638 0.8338  6 Nd 3.21-3.37
Br 0.5000 0.5000 0.5000  6 Nd 3.06-3.39
Br 0.8362 0.8362 0.1662  6 Nd 3.21-3.37



4.
An optimized crystal structure of Nd6CdRu2Br3. Source: Alexandria via LeMat-Bulk, functional GGA-PBE.

## Properties
Raw total energy (eV per atom): -5.194

Cell lengths 7.2786, 7.2786, 8.2721 Å; angles 98.37, 98.37, 120.00 degrees
Closest atoms and distances in Å follow each position.
Element x y z (fractional)
Nd 0.0622 0.4323 0.7968  2 Ru 2.81, 1 Cd 3.14
Nd 0.1967 0.1967 0.2024  2 Ru 2.81, 1 Cd 3.14
Nd 0.4323 0.0622 0.7968  2 Ru 2.81, 1 Cd 3.14
Nd 0.5677 0.9378 0.2032  2 Ru 2.81, 1 Cd 3.14
Nd 0.8033 0.8033 0.7976  2 Ru 2.81, 1 Cd 3.14
Nd 0.9378 0.5677 0.2032  2 Ru 2.81, 1 Cd 3.14
Cd 0.5000 0.5000 0.0000  6 Nd 3.14
Ru 0.1667 0.8333 0.0000  6 Nd 2.81
Ru 0.8333 0.1667 0.0000  6 Nd 2.81
Br 0.0000 0.0000 0.5000  6 Nd 3.19-3.48
Br 0.3327 0.6673 0.5000  6 Nd 3.19-3.50
Br 0.6673 0.3327 0.5000  6 Nd 3.19-3.50



5.
An optimized crystal structure of Nd6CdSi2Br3. Source: Alexandria via LeMat-Bulk, functional GGA-PBE.

## Properties
Raw total energy (eV per atom): -4.696

Cell lengths 9.7820, 9.7820, 8.9043 Å; angles 103.85, 103.85, 25.29 degrees
Closest atoms and distances in Å follow each position.
Element x y z (fractional)
Nd 0.0097 0.0097 0.2552  1 Si 2.91, 2 Br 3.09, 2 Cd 3.09
Nd 0.3247 0.3247 0.4362  3 Si 2.92-2.93, 3 Br 3.24-3.25
Nd 0.3334 0.3334 0.8861  2 Si 2.91, 1 Br 3.08, 1 Cd 3.09
Nd 0.6666 0.6666 0.1139  2 Si 2.91, 1 Br 3.08, 1 Cd 3.09
Nd 0.6753 0.6753 0.5638  3 Si 2.92-2.93, 3 Br 3.24-3.25
Nd 0.9903 0.9903 0.7448  1 Si 2.91, 2 Br 3.09, 2 Cd 3.09
Cd 0.5000 0.5000 0.0000  6 Nd 3.09
Si 0.1669 0.1669 0.3355  6 Nd 2.91-2.93
Si 0.8331 0.8331 0.6645  6 Nd 2.91-2.93
Br 0.1675 0.1675 0.8321  6 Nd 3.08-3.30
Br 0.5000 0.5000 0.5000  6 Nd 3.09-3.25
Br 0.8325 0.8325 0.1679  6 Nd 3.08-3.30



6.
An optimized crystal structure of NdTlCdBr6. Source: Alexandria via LeMat-Bulk, functional GGA-PBE.

## Properties
Raw total energy (eV per atom): -3.319

Cell lengths 7.4114, 7.4114, 14.5399 Å; angles 90.00, 90.00, 120.00 degrees
Closest atoms and distances in Å follow each position.
Element x y z (fractional)
Nd 0.3333 0.6667 0.2500  6 Br 2.92
Nd 0.6667 0.3333 0.7500  6 Br 2.92
Tl 0.0000 0.0000 0.0000  6 Br 3.38
Tl 0.0000 0.0000 0.5000  6 Br 3.38
Cd 0.3333 0.6667 0.7500  6 Br 2.83
Cd 0.6667 0.3333 0.2500  6 Br 2.83
Br 0.0093 0.3739 0.6365  1 Cd 2.83, 1 Nd 2.92
Br 0.0093 0.6354 0.8635  1 Cd 2.83, 1 Nd 2.92
Br 0.3646 0.3739 0.8635  1 Cd 2.83, 1 Nd 2.92
Br 0.3646 0.9907 0.6365  1 Cd 2.83, 1 Nd 2.92
Br 0.3739 0.0093 0.1365  1 Cd 2.83, 1 Nd 2.92
Br 0.3739 0.3646 0.3635  1 Cd 2.83, 1 Nd 2.92
Br 0.6261 0.6354 0.6365  1 Cd 2.83, 1 Nd 2.92
Br 0.6261 0.9907 0.8635  1 Cd 2.83, 1 Nd 2.92
Br 0.6354 0.0093 0.3635  1 Cd 2.83, 1 Nd 2.92
Br 0.6354 0.6261 0.1365  1 Cd 2.83, 1 Nd 2.92
Br 0.9907 0.3646 0.1365  1 Cd 2.83, 1 Nd 2.92
Br 0.9907 0.6261 0.3635  1 Cd 2.83, 1 Nd 2.92



Record-wise raw formation energy values, in eV per atom: -1.047 -0.615 -0.724 -0.770 -0.914 -1.309